(1)
VASP calculation (GGA-PBE) on a geometry-optimized TaCuOsO6 structure. Values from VASP.

Results
Size of the total moment: 1.83 μB/f.u.
Mass density: 8.54 Mg/m³
Uncorrected formation energy: -1.47 eV/atom
VASP energy: -7.800 eV per atom

Cell and atoms, written as Quantum ESPRESSO input:
```
&SYSTEM
  ibrav = 0, nat = 18, ntyp = 4
/
ATOMIC_SPECIES
O 16.00 O.upf
Cu 63.55 Cu.upf
Os 190.23 Os.upf
Ta 180.95 Ta.upf
CELL_PARAMETERS angstrom
-3.643 -3.158 -1.714
4.710 -0.210 -1.988
2.376 -6.149 6.279
ATOMIC_POSITIONS crystal
O 0.649 0.654 0.631
O 0.351 0.346 0.369
O 0.351 0.005 0.131
O 0.005 0.654 0.869
O 0.346 0.995 0.631
O 0.649 0.995 0.869
O 0.995 0.649 0.369
O 0.005 0.351 0.631
O 0.995 0.346 0.131
O 0.654 0.649 0.131
O 0.654 0.005 0.369
O 0.346 0.351 0.869
Cu 0.000 0.000 0.500
Cu 0.000 0.000 0.000
Os 0.667 0.333 0.250
Os 0.333 0.667 0.750
Ta 0.667 0.333 0.750
Ta 0.333 0.667 0.250
```

***

(2)
VASP calculation (GGA-PBE) on a geometry-optimized LaUSi structure. Values from VASP.

Results
Size of the total moment: 0.04 μB/f.u.
Mass density: 7.10 Mg/m³
Uncorrected formation energy: 0.94 eV/atom
ΔE to the lowest computed polymorph: 736 meV/atom
VASP energy: -6.277 eV per atom

Cell and atoms, written as Quantum ESPRESSO input:
```
&SYSTEM
  ibrav = 0, nat = 6, ntyp = 3
/
ATOMIC_SPECIES
La 138.91 La.upf
U 238.03 U.upf
Si 28.09 Si.upf
CELL_PARAMETERS angstrom
4.290 0.000 0.000
0.000 6.639 0.847
0.000 0.259 6.688
ATOMIC_POSITIONS crystal
La 0.000 0.711 0.711
La 0.000 0.289 0.289
U 0.000 0.000 0.000
U 0.500 0.500 0.500
Si 0.500 0.805 0.195
Si 0.500 0.195 0.805
```

***

(3)
VASP calculation (GGA-PBE) on a geometry-optimized PmV2N4 structure. Values from VASP.

Results
Size of the total moment: 0.00 μB/f.u.
Mass density: 5.77 Mg/m³
Uncorrected formation energy: -0.95 eV/atom
VASP energy: -8.990 eV per atom

Cell and atoms, written as Quantum ESPRESSO input:
```
&SYSTEM
  ibrav = 0, nat = 28, ntyp = 3
/
ATOMIC_SPECIES
N 14.01 N.upf
V 50.94 V.upf
Pm 145.00 Pm.upf
CELL_PARAMETERS angstrom
-3.011 0.465 -1.965
-2.729 -8.891 2.074
-4.824 3.392 8.194
ATOMIC_POSITIONS crystal
N 0.828 0.250 0.671
N 0.172 0.750 0.329
N 0.277 0.000 0.750
N 0.195 0.898 0.038
N 0.195 0.102 0.462
N 0.277 0.500 0.750
N 0.723 0.000 0.250
N 0.805 0.898 0.538
N 0.195 0.602 0.038
N 0.723 0.500 0.250
N 0.195 0.398 0.462
N 0.805 0.102 0.962
N 0.828 0.750 0.829
N 0.805 0.602 0.538
N 0.172 0.250 0.171
N 0.805 0.398 0.962
V 0.965 0.568 0.883
V 0.035 0.432 0.117
V 0.035 0.932 0.383
V 0.035 0.068 0.117
V 0.035 0.568 0.383
V 0.965 0.432 0.617
V 0.965 0.068 0.617
V 0.965 0.932 0.883
Pm 0.337 0.750 0.646
Pm 0.663 0.250 0.354
Pm 0.337 0.250 0.854
Pm 0.663 0.750 0.146
```

***

(4)
VASP calculation (GGA-PBE) on a geometry-optimized TiHgOs2Pb structure. Values from VASP.

Results
Calculated formation energy: 2400 meV per atom
Size of the total moment: 0.00 μB/f.u.
Mass density: 10.85 Mg/m³
VASP energy: -4.473 eV per atom

Cell and atoms, written as Quantum ESPRESSO input:
```
&SYSTEM
  ibrav = 0, nat = 5, ntyp = 4
/
ATOMIC_SPECIES
Ti 47.87 Ti.upf
Os 190.23 Os.upf
Hg 200.59 Hg.upf
Pb 207.20 Pb.upf
CELL_PARAMETERS angstrom
4.964 0.000 0.000
0.000 5.192 0.000
0.000 0.000 4.964
ATOMIC_POSITIONS crystal
Ti 0.500 0.500 0.500
Os 0.000 0.000 0.500
Os 0.500 0.000 0.000
Hg 0.000 0.500 0.000
Pb 0.000 0.000 0.000
```

***

(5)
VASP calculation (GGA-PBE) on a geometry-optimized HoTm2Th3 structure. Values from VASP.

Results
Calculated formation energy: 129 meV per atom
Size of the total moment: 0.00 μB/f.u.
Mass density: 10.43 Mg/m³
ΔE to the lowest computed polymorph: 0 meV/atom
VASP energy: -5.835 eV per atom

Cell and atoms, written as Quantum ESPRESSO input:
```
&SYSTEM
  ibrav = 0, nat = 12, ntyp = 3
/
ATOMIC_SPECIES
Th 232.04 Th.upf
Tm 168.93 Tm.upf
Ho 164.93 Ho.upf
CELL_PARAMETERS angstrom
-2.260 -1.720 5.279
7.472 -5.483 -1.991
0.018 8.821 2.883
ATOMIC_POSITIONS crystal
Th 0.955 0.910 0.613
Th 0.045 0.090 0.387
Th 0.288 0.576 0.613
Th 0.712 0.424 0.387
Th 0.621 0.242 0.614
Th 0.379 0.758 0.386
Tm 0.539 0.079 0.869
Tm 0.461 0.921 0.131
Tm 0.793 0.586 0.130
Tm 0.207 0.414 0.870
Ho 0.127 0.254 0.131
Ho 0.873 0.746 0.869
```

***

(6)
VASP calculation (GGA-PBE) on a geometry-optimized BeIrAu2 structure. Values from VASP.

Results
Calculated formation energy: 244 meV per atom
Size of the total moment: 0.00 μB/f.u.
Mass density: 16.27 Mg/m³
VASP energy: -4.541 eV per atom

Cell and atoms, written as Quantum ESPRESSO input:
```
&SYSTEM
  ibrav = 0, nat = 4, ntyp = 3
/
ATOMIC_SPECIES
Au 196.97 Au.upf
Be 9.01 Be.upf
Ir 192.22 Ir.upf
CELL_PARAMETERS angstrom
-0.439 -4.540 1.206
1.248 -0.264 4.542
-3.099 2.866 -2.107
ATOMIC_POSITIONS crystal
Au 0.000 0.000 0.000
Au 0.250 0.750 0.500
Be 0.500 0.500 0.000
Ir 0.750 0.250 0.500
```

***

(7)
VASP calculation (GGA-PBE) on a geometry-optimized ErBPt3 structure. Values from VASP.

Results
Calculated formation energy: -882 meV per atom
Size of the total moment: 0.00 μB/f.u.
Mass density: 15.98 Mg/m³
VASP energy: -6.754 eV per atom

Cell and atoms, written as Quantum ESPRESSO input:
```
&SYSTEM
  ibrav = 0, nat = 10, ntyp = 3
/
ATOMIC_SPECIES
Pt 195.08 Pt.upf
Er 167.26 Er.upf
B 10.81 B.upf
CELL_PARAMETERS angstrom
-1.153 1.464 -5.066
-5.239 -0.300 0.523
-0.149 5.372 1.587
ATOMIC_POSITIONS crystal
Pt 0.240 0.139 0.505
Pt 0.181 0.629 0.750
Pt 0.760 0.861 0.495
Pt 0.760 0.861 0.005
Pt 0.240 0.139 0.995
Pt 0.819 0.371 0.250
Er 0.305 0.639 0.250
Er 0.695 0.361 0.750
B 0.538 0.128 0.250
B 0.462 0.872 0.750
```

***

(8)
VASP calculation (GGA-PBE) on a geometry-optimized PuThB structure. Values from VASP.

Results
Calculated formation energy: 198 meV per atom
Size of the total moment: 5.79 μB/f.u.
Mass density: 12.76 Mg/m³
VASP energy: -9.278 eV per atom

Cell and atoms, written as Quantum ESPRESSO input:
```
&SYSTEM
  ibrav = 0, nat = 6, ntyp = 3
/
ATOMIC_SPECIES
Th 232.04 Th.upf
Pu 244.00 Pu.upf
B 10.81 B.upf
CELL_PARAMETERS angstrom
3.814 0.000 0.000
0.000 4.159 0.000
0.000 0.000 7.988
ATOMIC_POSITIONS crystal
Th 0.500 0.000 0.500
Th 0.000 0.000 0.000
Pu 0.500 0.500 0.185
Pu 0.500 0.500 0.815
B 0.000 0.500 0.396
B 0.000 0.500 0.604
```

***

(9)
VASP calculation (GGA-PBE) on a geometry-optimized Sm2In3Ag structure. Values from VASP.

Results
Calculated formation energy: -441 meV per atom
Size of the total moment: 0.00 μB/f.u.
Mass density: 8.10 Mg/m³
ΔE to the lowest computed polymorph: 6 meV/atom
VASP energy: -3.859 eV per atom

Cell and atoms, written as Quantum ESPRESSO input:
```
&SYSTEM
  ibrav = 0, nat = 12, ntyp = 3
/
ATOMIC_SPECIES
In 114.82 In.upf
Ag 107.87 Ag.upf
Sm 150.36 Sm.upf
CELL_PARAMETERS angstrom
-3.855 4.576 -1.377
-3.467 -4.585 2.157
4.499 3.091 7.518
ATOMIC_POSITIONS crystal
In 0.339 0.831 0.170
In 0.831 0.831 0.662
In 0.169 0.661 0.830
In 0.169 0.169 0.338
In 0.661 0.169 0.830
In 0.831 0.339 0.170
Ag 0.668 0.668 0.335
Ag 0.332 0.332 0.665
Sm 0.254 0.254 0.000
Sm 0.746 0.746 0.000
Sm 0.750 0.250 0.500
Sm 0.250 0.750 0.500
```

***

(10)
VASP calculation (GGA-PBE) on a geometry-optimized Al2MoSe structure. Values from VASP.

Results
Size of the total moment: 0.71 μB/f.u.
Mass density: 5.88 Mg/m³
Uncorrected formation energy: 0.16 eV/atom
VASP energy: -5.286 eV per atom

Cell and atoms, written as Quantum ESPRESSO input:
```
&SYSTEM
  ibrav = 0, nat = 4, ntyp = 3
/
ATOMIC_SPECIES
Al 26.98 Al.upf
Se 78.96 Se.upf
Mo 95.94 Mo.upf
CELL_PARAMETERS angstrom
5.087 0.000 0.000
2.123 4.623 0.000
-3.605 -2.312 2.746
ATOMIC_POSITIONS crystal
Al 0.500 0.500 0.000
Al 0.000 0.000 0.000
Se 0.750 0.250 0.500
Mo 0.250 0.750 0.500
```

***

(11)
VASP calculation (GGA-PBE) on a geometry-optimized Li3CaMg structure. Values from VASP.

Results
Calculated formation energy: 49 meV per atom
Size of the total moment: 0.00 μB/f.u.
Mass density: 1.09 Mg/m³
ΔE to the lowest computed polymorph: 46 meV/atom
VASP energy: -1.818 eV per atom

Cell and atoms, written as Quantum ESPRESSO input:
```
&SYSTEM
  ibrav = 0, nat = 5, ntyp = 3
/
ATOMIC_SPECIES
Mg 24.30 Mg.upf
Li 6.94 Li.upf
Ca 40.08 Ca.upf
CELL_PARAMETERS angstrom
-0.239 -3.921 1.891
3.040 1.203 2.895
-3.487 0.949 6.559
ATOMIC_POSITIONS crystal
Mg 0.007 0.810 0.690
Li 0.154 0.457 0.398
Li 0.795 0.599 0.116
Li 0.654 0.958 0.398
Ca 0.398 0.201 0.909
```

***

(12)
VASP calculation (GGA-PBE) on a geometry-optimized NbAs2AuSe structure. Values from VASP.

Results
Size of the total moment: 0.00 μB/f.u.
Mass density: 7.17 Mg/m³
Uncorrected formation energy: 1.11 eV/atom
ΔE to the lowest computed polymorph: 722 meV/atom
VASP energy: -4.114 eV per atom

Cell and atoms, written as Quantum ESPRESSO input:
```
&SYSTEM
  ibrav = 0, nat = 5, ntyp = 4
/
ATOMIC_SPECIES
Nb 92.91 Nb.upf
Au 196.97 Au.upf
As 74.92 As.upf
Se 78.96 Se.upf
CELL_PARAMETERS angstrom
4.896 0.000 0.000
0.000 4.896 0.000
0.000 0.000 5.008
ATOMIC_POSITIONS crystal
Nb 0.500 0.500 0.500
Au 0.000 0.000 0.000
As 0.000 0.500 0.000
As 0.500 0.000 0.000
Se 0.000 0.000 0.500
```